Compound: PrYHgPt
Source: Alexandria via LeMat-Bulk
Functional: PBE
Structure: optimized geometry

* raw total energy: -82.2 eV for the cell shown
* energy of formation: -0.742 eV/atom

Cell and atoms, written as CIF:
```
data_PrYHgPt
_chemical_formula_sum 'Pr4 Y4 Hg4 Pt4'
_cell_length_a 7.359
_cell_length_b 7.359
_cell_length_c 7.359
_cell_angle_alpha 90.00
_cell_angle_beta 90.00
_cell_angle_gamma 90.00
_space_group_name_H-M_alt 'F -4 3 m'
_space_group_IT_number 216
_space_group_name_Hall 'F -4 2 3'
loop_
_atom_site_label
_atom_site_fract_x
_atom_site_fract_y
_atom_site_fract_z
Pr1 0.000 0.000 0.000
Y1 0.000 0.000 0.500
Hg1 0.250 0.250 0.250
Pt1 0.250 0.250 0.750
```



Compound: K2TaTl
Source: Alexandria via LeMat-Bulk
Functional: PBE
Structure: optimized geometry

* raw total energy: -12.7 eV for the cell shown
* energy of formation: 0.937 eV/atom

Cell and atoms, written as CIF:
```
data_K2TaTl
_chemical_formula_sum 'K2 Ta1 Tl1'
_cell_length_a 3.090
_cell_length_b 3.090
_cell_length_c 12.589
_cell_angle_alpha 90.00
_cell_angle_beta 90.00
_cell_angle_gamma 90.00
_space_group_name_H-M_alt 'P 4/m m m'
_space_group_IT_number 123
_space_group_name_Hall '-P 4 2'
loop_
_atom_site_label
_atom_site_fract_x
_atom_site_fract_y
_atom_site_fract_z
K1 0.000 0.000 0.244
Ta1 0.500 0.500 0.000
Tl1 0.500 0.500 0.500
```



Compound: CaLaP2
Source: Alexandria via LeMat-Bulk
Functional: PBE
Structure: optimized geometry

* raw total energy: -75.0 eV for the cell shown
* energy of formation: -0.252 eV/atom

Cell and atoms, written as CIF:
```
data_CaLaP2
_chemical_formula_sum 'Ca4 La4 P8'
_cell_length_a 7.034
_cell_length_b 7.034
_cell_length_c 7.034
_cell_angle_alpha 90.00
_cell_angle_beta 90.00
_cell_angle_gamma 90.00
_space_group_name_H-M_alt 'F -4 3 m'
_space_group_IT_number 216
_space_group_name_Hall 'F -4 2 3'
loop_
_atom_site_label
_atom_site_fract_x
_atom_site_fract_y
_atom_site_fract_z
Ca1 0.000 0.000 0.000
La1 0.250 0.250 0.750
P1 0.000 0.000 0.500
P2 0.250 0.250 0.250
```



Compound: NdDy2Th3As6
Source: Alexandria via LeMat-Bulk
Functional: PBE
Structure: optimized geometry

* raw total energy: -163.5 eV for the cell shown
* energy of formation: -1.468 eV/atom

Cell and atoms, written as CIF:
```
data_NdDy2Th3As6
_chemical_formula_sum 'Nd2 Dy4 Th6 As12'
_cell_length_a 7.322
_cell_length_b 12.661
_cell_length_c 7.267
_cell_angle_alpha 90.00
_cell_angle_beta 109.62
_cell_angle_gamma 90.00
_space_group_name_H-M_alt 'C 1 2/m 1'
_space_group_IT_number 12
loop_
_space_group_symop_operation_xyz
'x,y,z'
'-x,-y,-z'
'-x,y,-z'
'x,-y,z'
'x+1/2,y+1/2,z'
'-x+1/2,-y+1/2,-z'
'-x+1/2,y+1/2,-z'
'x+1/2,-y+1/2,z'
loop_
_atom_site_label
_atom_site_fract_x
_atom_site_fract_y
_atom_site_fract_z
Nd1 0.000 0.000 0.000
Dy1 0.000 0.333 0.000
Th1 0.000 0.165 0.500
Th2 0.000 0.500 0.500
As1 0.243 0.500 0.245
As2 0.248 0.331 0.754
```



Compound: Ba2CePbO6
Source: Alexandria via LeMat-Bulk
Functional: PBE
Structure: optimized geometry

* raw total energy: -203.4 eV for the cell shown
* formation energy from raw total energies: -2455 meV/atom

Cell and atoms, written as CIF:
```
data_Ba2CePbO6
_chemical_formula_sum 'Ba6 Ce3 Pb3 O18'
_cell_length_a 6.2372
_cell_length_b 6.2372
_cell_length_c 15.1051
_cell_angle_alpha 90.00
_cell_angle_beta 90.00
_cell_angle_gamma 120.00
_space_group_name_H-M_alt 'R -3'
_space_group_IT_number 148
_space_group_name_Hall '-R 3'
loop_
_atom_site_label
_atom_site_fract_x
_atom_site_fract_y
_atom_site_fract_z
Ba1 0.0000 0.0000 0.2490
Ce1 0.0000 0.0000 0.5000
Pb1 0.0000 0.0000 0.0000
O1 0.0026 0.5568 0.7499
```



Q: Number 1 is which compound?
A: PrYHgPt



Q: Which value of raw total energy does entry 2 give?
A: -12.7 eV for the cell shown